(1)
Co8Ni5Ir | Alexandria via LeMat-Bulk | GGA-PBE | optimized geometry; relative energy among the computed polymorphs = 0.1161 eV per atom; symmetry = No. 82; formation energy from the elements = 374 kJ/mol of formula units
1.0
-3.456 3.456 3.500
3.456 -3.456 3.500
3.456 3.456 -3.500
Co Ni Ir
8 5 1
direct
0.128 0.415 0.051
0.364 0.077 0.949
0.438 0.161 0.410
0.585 0.636 0.713
0.751 0.028 0.590
0.839 0.249 0.277
0.923 0.872 0.287
0.972 0.562 0.723
0.000 0.000 0.000
0.226 0.299 0.687
0.461 0.774 0.073
0.612 0.539 0.313
0.701 0.388 0.927
0.250 0.750 0.500

(2)
KLa2RuO5 | Alexandria via LeMat-Bulk | GGA-PBE | optimized geometry; raw formation energy = -2.3508 eV per atom; symmetry = No. 127
1.0
7.017 0.000 0.000
0.000 7.017 0.000
0.000 0.000 5.884
K La Ru O
2 4 2 10
direct
0.000 0.000 0.000
0.500 0.500 0.000
0.180 0.320 0.500
0.320 0.820 0.500
0.680 0.180 0.500
0.820 0.680 0.500
0.000 0.500 0.000
0.500 0.000 0.000
0.000 0.000 0.500
0.133 0.633 0.246
0.133 0.633 0.754
0.367 0.133 0.246
0.367 0.133 0.754
0.500 0.500 0.500
0.633 0.867 0.246
0.633 0.867 0.754
0.867 0.367 0.246
0.867 0.367 0.754

(3)
Hg7Rh6 | Alexandria via LeMat-Bulk | GGA-PBE | optimized geometry; symmetry = No. 166; formation energy from the elements = 742 kJ/mol of formula units
1.0
2.819 1.627 9.020
-2.819 1.627 9.020
0.000 -3.255 9.020
Hg Rh
7 6
direct
0.000 0.000 0.000
0.087 0.087 0.577
0.087 0.577 0.087
0.423 0.913 0.913
0.577 0.087 0.087
0.913 0.423 0.913
0.913 0.913 0.423
0.166 0.166 0.166
0.351 0.351 0.351
0.453 0.453 0.453
0.547 0.547 0.547
0.649 0.649 0.649
0.834 0.834 0.834

(4)
Na6AlIn2 | Alexandria via LeMat-Bulk | GGA-PBE | optimized geometry; symmetry = No. 12; formation energy from the elements = 14 kJ/mol of formula units
1.0
4.168 -7.779 0.000
4.168 7.779 0.000
-1.239 0.000 4.154
Na Al In
6 1 2
direct
0.021 0.358 0.792
0.178 0.178 0.312
0.358 0.021 0.792
0.642 0.979 0.208
0.822 0.822 0.688
0.979 0.642 0.208
0.500 0.500 0.000
0.372 0.628 0.500
0.628 0.372 0.500

Computed values of V (unit: Å³ per atom) for the preceding records, in sequence: 11.94; 16.10; 19.10; 29.93.
Computed values of size of the total moment (unit: μB per cell) for the preceding records, in sequence: 18.05; 6.00; 3.99; 0.00.